# SrLiTeN2

A relaxed structure of SrLiTeN2 (PBE, the Alexandria database).

POSCAR file:
```
SrLiTeN2
1.0
4.569 0.000 0.000
0.000 4.569 0.000
0.000 0.000 5.205
Sr Te Li N
1 1 1 2
direct
0.500 0.500 0.500
0.000 0.000 0.500
0.000 0.000 0.000
0.000 0.500 0.000
0.500 0.000 0.000
```

Results
ΔE_f (raw): 0.825 eV per atom
Fermi-level density of states: 2.9 states/eV/cell
Energy above the most stable polymorph in this dataset: 0.000 eV per formula unit
Space group: No. 123
Magnetization: 0.9741 μB per atom
Electronic total energy: -19.262 eV/cell